Record 1
Here is a relaxed Sc2Al crystal from the Alexandria database. Energies are from GGA-PBEsol.

Computed properties:
Formation enthalpy at 0 K, eV per atom: -0.313
Symmetry: I4/mmm

a b c (Å): 6.6868 6.6868 6.6868
angles (deg): 152.99 152.99 38.57
Last column: nearest neighbours and their distance in Å.
Fractional coordinates of all 3 atoms:
Sc: 0.1555 0.1555 0.0000  4 Al 2.95, 8 Sc 3.12-3.25
Sc: 0.8445 0.8445 0.0000  4 Al 2.95, 8 Sc 3.12-3.25
Al: 0.5000 0.5000 0.0000  8 Sc 2.95, 4 Al 3.12

Record 2
Here is a relaxed Sc2Al crystal from the Alexandria database. Energies are from GGA-PBEsol.

Computed properties:
Formation enthalpy at 0 K, eV per atom: -0.157
Symmetry: P6/mmm

a b c (Å): 4.7997 4.7997 2.9174
angles (deg): 90.00 90.00 120.00
Last column: nearest neighbours and their distance in Å.
Fractional coordinates of all 3 atoms:
Sc: 0.3333 0.6667 0.0000  5 Sc 2.77-2.92
Sc: 0.6667 0.3333 0.0000  5 Sc 2.77-2.92
Al: 0.0000 0.0000 0.5000  2 Al 2.92, 12 Sc 3.13

Record 3
Here is a relaxed ScAl3 crystal from the Alexandria database. Energies are from GGA-PBEsol.

Computed properties:
Formation enthalpy at 0 K, eV per atom: -0.471
Symmetry: Pm-3m

a b c (Å): 4.0705 4.0705 4.0705
angles (deg): 90.00 90.00 90.00
Last column: nearest neighbours and their distance in Å.
Fractional coordinates of all 4 atoms:
Sc: 0.0000 0.0000 0.0000  12 Al 2.88
Al: 0.0000 0.5000 0.5000  4 Sc 2.88, 8 Al 2.88
Al: 0.5000 0.0000 0.5000  4 Sc 2.88, 8 Al 2.88
Al: 0.5000 0.5000 0.0000  4 Sc 2.88, 8 Al 2.88

Record 4
Here is a relaxed Sc2AlSe crystal from the Alexandria database. Energies are from GGA-PBEsol.

Computed properties:
Energy relative to the lowest polymorph listed for this composition, eV/atom: 0.370
Symmetry: R-3m

a b c (Å): 9.1699 9.1699 9.1699
angles (deg): 21.89 21.89 21.89
Last column: nearest neighbours and their distance in Å.
Fractional coordinates of all 4 atoms:
Sc: 0.1050 0.1050 0.1050  3 Se 2.61, 1 Al 2.82
Sc: 0.8950 0.8950 0.8950  3 Se 2.61, 1 Al 2.82
Al: 0.0000 0.0000 0.0000  2 Sc 2.82
Se: 0.5000 0.5000 0.5000  6 Sc 2.61

Record 5
Here is a relaxed ScAl2Se crystal from the Alexandria database. Energies are from GGA-PBEsol.

Computed properties:
Symmetry: Pmm2
Total DFT energy (no corrections), Ha/atom: -0.19082

a b c (Å): 3.5654 3.6794 6.0443
angles (deg): 90.00 90.00 90.00
Last column: nearest neighbours and their distance in Å.
Fractional coordinates of all 4 atoms:
Sc: 0.0000 0.0000 0.0000  4 Se 2.66
Al: 0.0000 0.0000 0.5051  4 Al 2.79, 2 Sc 2.99-3.05
Al: 0.5000 0.5000 0.6897  1 Se 2.59, 4 Al 2.79
Se: 0.5000 0.5000 0.1189  1 Al 2.59, 4 Sc 2.66

Record 6
Here is a relaxed Sc2AlSe crystal from the Alexandria database. Energies are from GGA-PBEsol.

Computed properties:
Energy relative to the lowest polymorph listed for this composition, eV/atom: 0.000
Symmetry: P4/mmm

a b c (Å): 3.8763 3.8763 5.5144
angles (deg): 90.00 90.00 90.00
Last column: nearest neighbours and their distance in Å.
Fractional coordinates of all 4 atoms:
Sc: 0.0000 0.0000 0.0000  4 Se 2.74, 2 Al 2.76
Sc: 0.5000 0.5000 0.5000  4 Al 2.74, 2 Se 2.76
Al: 0.0000 0.0000 0.5000  6 Sc 2.74-2.76
Se: 0.5000 0.5000 0.0000  6 Sc 2.74-2.76

Record 7
Here is a relaxed Sc2AlSi crystal from the Alexandria database. Energies are from GGA-PBEsol.

Computed properties:
Symmetry: Amm2
Total DFT energy (no corrections), Ha/atom: -0.23547

a b c (Å): 3.7903 5.4284 5.4284
angles (deg): 43.11 90.00 90.00
Last column: nearest neighbours and their distance in Å.
Fractional coordinates of all 4 atoms:
Sc: 0.0000 0.0000 0.0000  3 Si 2.81-3.00, 4 Al 2.82
Sc: 0.5000 0.2799 0.2799  4 Si 2.81, 3 Al 2.86-2.96
Al: 0.5000 0.5628 0.5628  2 Si 2.49
Si: 0.0000 0.7220 0.7220  2 Al 2.49

Record 8
Here is a relaxed ScAlSi2 crystal from the Alexandria database. Energies are from GGA-PBEsol.

Computed properties:
Symmetry: Pmm2
Total DFT energy (no corrections), Ha/atom: -0.21548

a b c (Å): 2.8127 4.5267 5.0538
angles (deg): 90.00 90.00 90.00
Last column: nearest neighbours and their distance in Å.
Fractional coordinates of all 4 atoms:
Sc: 0.0000 0.0000 0.0000  2 Sc 2.81, 8 Si 2.85-2.93, 4 Al 2.97
Al: 0.5000 0.5000 0.7384  4 Si 2.50-2.59
Si: 0.5000 0.0000 0.4910  2 Al 2.59, 4 Si 2.61-2.81, 2 Sc 2.85
Si: 0.5000 0.5000 0.2324  2 Al 2.50-2.56, 2 Si 2.61

Record 9
Here is a relaxed ScAlSi2 crystal from the Alexandria database. Energies are from GGA-PBEsol.

Computed properties:
Symmetry: Cmmm
Total DFT energy (no corrections), Ha/atom: -0.21352

a b c (Å): 4.7684 4.7684 2.9710
angles (deg): 90.00 90.00 108.46
Last column: nearest neighbours and their distance in Å.
Fractional coordinates of all 4 atoms:
Sc: 0.0000 0.0000 0.0000  2 Al 2.79, 8 Si 2.81, 2 Sc 2.97
Al: 0.5000 0.5000 0.0000  2 Sc 2.79, 8 Si 2.81, 2 Al 2.97
Si: 0.0000 0.5000 0.5000  4 Si 2.79-2.97, 4 Al 2.81, 4 Sc 2.81
Si: 0.5000 0.0000 0.5000  4 Si 2.79-2.97, 4 Al 2.81, 4 Sc 2.81

Record 10
Here is a relaxed ScAlSi crystal from the Alexandria database. Energies are from GGA-PBEsol.

Computed properties:
Symmetry: F-43m
Total DFT energy (no corrections), Ha/atom: -0.19986

a b c (Å): 4.4147 4.4147 4.4147
angles (deg): 60.00 60.00 60.00
Last column: nearest neighbours and their distance in Å.
Fractional coordinates of all 3 atoms:
Sc: 0.0000 0.0000 0.0000  4 Si 2.70, 4 Al 2.70
Al: 0.2500 0.2500 0.2500  4 Sc 2.70
Si: 0.7500 0.7500 0.7500  4 Sc 2.70

Record 11
Here is a relaxed Sc2AlSi crystal from the Alexandria database. Energies are from GGA-PBEsol.

Computed properties:
Symmetry: I4/mmm
Total DFT energy (no corrections), Ha/atom: -0.23130

a b c (Å): 5.0099 5.0099 5.0099
angles (deg): 130.81 130.81 72.12
Last column: nearest neighbours and their distance in Å.
Fractional coordinates of all 4 atoms:
Sc: 0.2500 0.7500 0.5000  4 Al 2.91, 4 Si 2.91, 4 Sc 2.95
Sc: 0.7500 0.2500 0.5000  4 Al 2.91, 4 Si 2.91, 4 Sc 2.95
Al: 0.0000 0.0000 0.0000  8 Sc 2.91, 4 Si 2.95
Si: 0.5000 0.5000 0.0000  8 Sc 2.91, 4 Al 2.95

Record 12
Here is a relaxed Sc3AlSn crystal from the Alexandria database. Energies are from GGA-PBEsol.

Computed properties:
Formation enthalpy at 0 K, eV per atom: 0.307
Symmetry: Pm-3m

a b c (Å): 5.2228 5.2228 5.2228
angles (deg): 90.00 90.00 90.00
Last column: nearest neighbours and their distance in Å.
Fractional coordinates of all 5 atoms:
Sc: 0.0000 0.0000 0.5000  2 Sn 2.61
Sc: 0.0000 0.5000 0.0000  2 Sn 2.61
Sc: 0.5000 0.0000 0.0000  2 Sn 2.61
Al: 0.5000 0.5000 0.5000  12 Sc 3.69
Sn: 0.0000 0.0000 0.0000  6 Sc 2.61